No. 1
Crystalline Li2TbScPd4 at its relaxed geometry, computed with PBE. Values from VASP.

Fermi-level density of states   3.37 states/eV/f.u.
Calculated total energy   -5.140 eV per atom

Cell and atoms, written as Quantum ESPRESSO input:
```
&SYSTEM
  ibrav = 0, nat = 8, ntyp = 4
/
ATOMIC_SPECIES
Li 6.94 Li.upf
Tb 158.93 Tb.upf
Sc 44.96 Sc.upf
Pd 106.42 Pd.upf
CELL_PARAMETERS angstrom
-1.987 2.042 3.587
-4.095 -1.432 1.472
1.380 -4.718 6.375
ATOMIC_POSITIONS angstrom
Li -3.556 -3.038 8.535
Li -1.146 -1.070 2.899
Tb 0.000 0.000 0.000
Sc -2.351 -2.054 5.717
Pd -1.134 -3.812 7.392
Pd -4.774 -1.278 6.858
Pd 0.072 -2.829 4.576
Pd -3.568 -0.296 4.042
```

***

No. 2
Crystalline LiTbSc2Pd4 at its relaxed geometry, computed with PBE. Values from VASP.

Fermi-level density of states   4.56 states/eV/f.u.
Calculated total energy   -5.773 eV per atom

Cell and atoms, written as Quantum ESPRESSO input:
```
&SYSTEM
  ibrav = 0, nat = 8, ntyp = 4
/
ATOMIC_SPECIES
Li 6.94 Li.upf
Tb 158.93 Tb.upf
Sc 44.96 Sc.upf
Pd 106.42 Pd.upf
CELL_PARAMETERS angstrom
4.667 0.000 0.000
2.333 4.041 0.000
2.333 1.347 7.756
ATOMIC_POSITIONS angstrom
Li 4.667 2.694 3.878
Tb 0.000 0.000 0.000
Sc 7.000 4.041 5.593
Sc 2.333 1.347 2.163
Pd 4.667 2.694 6.575
Pd 7.000 4.041 2.879
Pd 2.333 1.347 4.876
Pd 4.667 2.694 1.180
```

***

No. 3
Crystalline LiThSc2Pd4 at its relaxed geometry, computed with PBE. Values from VASP.

Fermi-level density of states   5.97 states/eV/f.u.
Calculated total energy   -6.087 eV per atom

Cell and atoms, written as Quantum ESPRESSO input:
```
&SYSTEM
  ibrav = 0, nat = 8, ntyp = 4
/
ATOMIC_SPECIES
Li 6.94 Li.upf
Th 232.04 Th.upf
Sc 44.96 Sc.upf
Pd 106.42 Pd.upf
CELL_PARAMETERS angstrom
4.644 0.000 0.000
2.322 4.022 0.000
2.322 1.341 8.197
ATOMIC_POSITIONS angstrom
Li 4.644 2.681 4.098
Th 0.000 0.000 0.000
Sc 6.966 4.022 5.756
Sc 2.322 1.341 2.441
Pd 4.644 2.681 6.721
Pd 6.966 4.022 3.012
Pd 2.322 1.341 5.184
Pd 4.644 2.681 1.475
```

***

No. 4
Crystalline LiTmSc2Pd4 at its relaxed geometry, computed with PBE. Values from VASP.

Fermi-level density of states   4.69 states/eV/f.u.
Calculated total energy   -5.783 eV per atom

Cell and atoms, written as Quantum ESPRESSO input:
```
&SYSTEM
  ibrav = 0, nat = 8, ntyp = 4
/
ATOMIC_SPECIES
Li 6.94 Li.upf
Tm 168.93 Tm.upf
Sc 44.96 Sc.upf
Pd 106.42 Pd.upf
CELL_PARAMETERS angstrom
-0.887 -4.422 1.230
1.509 -1.629 4.114
-6.284 0.191 5.036
ATOMIC_POSITIONS angstrom
Li -2.832 -2.930 5.190
Tm 0.000 0.000 0.000
Sc -4.106 -4.443 7.714
Sc -1.557 -1.417 2.666
Pd -5.213 -2.120 6.384
Pd -1.786 -5.232 6.551
Pd -3.877 -0.628 3.829
Pd -0.450 -3.740 3.996
```

***

No. 5
Crystalline Li2Tm2ScPd5 at its relaxed geometry, computed with PBE. Values from VASP.

Fermi-level density of states   4.19 states/eV/f.u.
Calculated total energy   -5.268 eV per atom

Cell and atoms, written as Quantum ESPRESSO input:
```
&SYSTEM
  ibrav = 0, nat = 20, ntyp = 4
/
ATOMIC_SPECIES
Li 6.94 Li.upf
Tm 168.93 Tm.upf
Sc 44.96 Sc.upf
Pd 106.42 Pd.upf
CELL_PARAMETERS angstrom
-2.335 -1.747 -2.059
-3.039 -5.086 7.762
-6.733 6.829 1.839
ATOMIC_POSITIONS angstrom
Li -4.556 3.627 2.088
Li -5.215 -1.884 7.512
Li -7.802 2.835 6.441
Li -1.969 -1.092 3.160
Tm -3.232 -2.238 5.563
Tm -6.540 3.981 4.038
Tm -2.719 1.327 1.957
Tm -7.052 0.416 7.643
Sc 0.000 0.000 0.000
Sc -4.886 0.872 4.800
Pd -2.262 -1.462 0.712
Pd -9.844 1.458 6.830
Pd -6.708 4.185 0.961
Pd -6.222 -1.530 5.259
Pd -5.398 -4.189 6.581
Pd -5.884 1.526 2.283
Pd -7.662 1.069 4.687
Pd -4.444 -1.073 2.855
Pd -2.687 -3.417 2.851
Pd -4.534 2.541 -0.110
```

***

No. 6
Crystalline LiYSc2Pd4 at its relaxed geometry, computed with PBE. Values from VASP.

Fermi-level density of states   5.00 states/eV/f.u.
Calculated total energy   -6.002 eV per atom

Cell and atoms, written as Quantum ESPRESSO input:
```
&SYSTEM
  ibrav = 0, nat = 8, ntyp = 4
/
ATOMIC_SPECIES
Li 6.94 Li.upf
Y 88.91 Y.upf
Sc 44.96 Sc.upf
Pd 106.42 Pd.upf
CELL_PARAMETERS angstrom
-0.448 3.061 3.484
0.692 -1.362 4.401
7.615 2.379 2.004
ATOMIC_POSITIONS angstrom
Li 3.930 2.039 4.945
Y 0.000 0.000 0.000
Sc 5.682 3.007 7.435
Sc 2.178 1.071 2.455
Pd 6.534 2.666 4.729
Pd 3.052 2.375 7.652
Pd 4.807 1.703 2.237
Pd 1.326 1.412 5.160
```

***

No. 7
Crystalline LiYSc2Pd at its relaxed geometry, computed with PBE. Values from VASP.

Fermi-level density of states   3.58 states/eV/f.u.
Calculated total energy   -4.140 eV per atom

Cell and atoms, written as Quantum ESPRESSO input:
```
&SYSTEM
  ibrav = 0, nat = 5, ntyp = 4
/
ATOMIC_SPECIES
Y 88.91 Y.upf
Sc 44.96 Sc.upf
Pd 106.42 Pd.upf
Li 6.94 Li.upf
CELL_PARAMETERS angstrom
5.091 0.000 0.000
0.000 4.499 0.000
0.000 0.000 5.091
ATOMIC_POSITIONS angstrom
Y 0.000 0.000 0.000
Sc 0.000 0.000 2.546
Sc 2.546 0.000 0.000
Pd 2.546 2.249 2.546
Li 0.000 2.249 0.000
```

***

No. 8
Crystalline Li2ScZn2Pd2 at its relaxed geometry, computed with PBE. Values from VASP.

Fermi-level density of states   3.45 states/eV/f.u.
Calculated total energy   -3.781 eV per atom

Cell and atoms, written as Quantum ESPRESSO input:
```
&SYSTEM
  ibrav = 0, nat = 7, ntyp = 4
/
ATOMIC_SPECIES
Li 6.94 Li.upf
Sc 44.96 Sc.upf
Zn 65.41 Zn.upf
Pd 106.42 Pd.upf
CELL_PARAMETERS angstrom
4.516 0.000 0.000
-2.258 3.680 -0.456
0.000 -2.203 6.808
ATOMIC_POSITIONS angstrom
Li 2.258 -1.103 4.820
Li 0.000 2.581 1.532
Sc 0.000 0.000 0.000
Zn 0.000 0.096 2.855
Zn 2.258 1.381 3.497
Pd 2.258 1.298 0.895
Pd 0.000 0.179 5.456
```

***

No. 9
Crystalline Li2Zr2ScPd5 at its relaxed geometry, computed with PBE. Values from VASP.

Fermi-level density of states   7.33 states/eV/f.u.
Calculated total energy   -5.886 eV per atom

Cell and atoms, written as Quantum ESPRESSO input:
```
&SYSTEM
  ibrav = 0, nat = 20, ntyp = 4
/
ATOMIC_SPECIES
Li 6.94 Li.upf
Zr 91.22 Zr.upf
Sc 44.96 Sc.upf
Pd 106.42 Pd.upf
CELL_PARAMETERS angstrom
-2.644 0.265 -2.294
-5.504 -5.384 5.722
-3.085 7.907 4.472
ATOMIC_POSITIONS angstrom
Li -2.584 4.259 3.471
Li -6.006 -1.737 6.722
Li -6.131 3.604 7.484
Li -2.459 -1.081 2.709
Zr -4.269 -2.247 4.661
Zr -4.321 4.769 5.533
Zr -1.970 1.607 2.457
Zr -6.620 0.916 7.737
Sc 0.000 0.000 0.000
Sc -4.295 1.261 5.097
Pd -2.680 -0.449 0.350
Pd -8.554 3.237 7.549
Pd -4.141 6.024 2.784
Pd -6.553 -0.268 4.836
Pd -7.093 -3.237 5.116
Pd -4.681 3.056 3.063
Pd -6.636 2.673 5.272
Pd -4.598 0.115 2.627
Pd -4.074 -2.559 1.714
Pd -2.865 4.086 1.089
```

***

No. 10
Crystalline LiZrSc2Pd4 at its relaxed geometry, computed with PBE. Values from VASP.

Fermi-level density of states   5.00 states/eV/f.u.
Calculated total energy   -6.224 eV per atom

Cell and atoms, written as Quantum ESPRESSO input:
```
&SYSTEM
  ibrav = 0, nat = 8, ntyp = 4
/
ATOMIC_SPECIES
Li 6.94 Li.upf
Zr 91.22 Zr.upf
Sc 44.96 Sc.upf
Pd 106.42 Pd.upf
CELL_PARAMETERS angstrom
4.645 0.000 0.000
2.322 4.022 0.000
2.322 1.341 7.580
ATOMIC_POSITIONS angstrom
Li 4.645 2.682 3.790
Zr 0.000 0.000 0.000
Sc 6.967 4.022 5.538
Sc 2.322 1.341 2.043
Pd 4.645 2.682 6.750
Pd 6.967 4.022 2.770
Pd 2.322 1.341 4.811
Pd 4.645 2.682 0.830
```

***

No. 11
Crystalline LiPd5Se8 at its relaxed geometry, computed with PBE. Values from VASP.

Raw formation energy   -0.36 eV per atom
Fermi-level density of states   4.96 states/eV/f.u.

Cell and atoms, written as Quantum ESPRESSO input:
```
&SYSTEM
  ibrav = 0, nat = 14, ntyp = 3
/
ATOMIC_SPECIES
Li 6.94 Li.upf
Pd 106.42 Pd.upf
Se 78.96 Se.upf
CELL_PARAMETERS angstrom
-5.667 4.674 -1.720
-4.450 2.703 5.460
0.398 7.282 1.932
ATOMIC_POSITIONS angstrom
Li -2.430 3.665 1.418
Pd 0.000 0.000 0.000
Pd -6.272 5.523 2.579
Pd -6.073 9.160 3.545
Pd -3.243 6.825 4.404
Pd -3.851 7.810 0.818
Se -5.775 6.894 4.668
Se -6.326 7.787 1.414
Se -3.759 5.669 2.194
Se -3.578 8.969 3.069
Se -8.572 9.353 4.021
Se -5.821 10.536 5.678
Se -8.392 12.657 4.898
Se -6.373 11.431 2.421
```

***

No. 12
Crystalline Li2Pd2Se at its relaxed geometry, computed with PBE. Values from VASP.

Raw formation energy   -0.46 eV per atom
Fermi-level density of states   1.19 states/eV/f.u.

Cell and atoms, written as Quantum ESPRESSO input:
```
&SYSTEM
  ibrav = 0, nat = 10, ntyp = 3
/
ATOMIC_SPECIES
Se 78.96 Se.upf
Pd 106.42 Pd.upf
Li 6.94 Li.upf
CELL_PARAMETERS angstrom
6.523 0.000 0.000
0.000 6.523 0.000
0.000 0.000 3.971
ATOMIC_POSITIONS angstrom
Se 0.000 0.000 0.000
Se 3.262 3.262 0.000
Pd 2.264 5.526 0.000
Pd 5.526 4.259 0.000
Pd 4.259 0.998 0.000
Pd 0.998 2.264 0.000
Li 1.020 4.282 1.986
Li 4.282 5.503 1.986
Li 5.503 2.242 1.986
Li 2.242 1.020 1.986
```

***

No. 13
Crystalline LiPd2Se at its relaxed geometry, computed with PBE. Values from VASP.

Raw formation energy   -0.43 eV per atom
Fermi-level density of states   2.19 states/eV/f.u.

Cell and atoms, written as Quantum ESPRESSO input:
```
&SYSTEM
  ibrav = 0, nat = 4, ntyp = 3
/
ATOMIC_SPECIES
Se 78.96 Se.upf
Pd 106.42 Pd.upf
Li 6.94 Li.upf
CELL_PARAMETERS angstrom
-1.983 -2.390 1.509
3.027 -2.859 -0.551
1.631 1.007 3.737
ATOMIC_POSITIONS angstrom
Se -0.991 -1.195 0.755
Pd 0.815 0.503 1.868
Pd 1.513 -1.429 -0.275
Li 1.337 -2.121 2.348
```

***

No. 14
Crystalline LiPd2Se at its relaxed geometry, computed with PBE. Values from VASP.

Raw formation energy   -0.35 eV per atom
Fermi-level density of states   2.12 states/eV/f.u.

Cell and atoms, written as Quantum ESPRESSO input:
```
&SYSTEM
  ibrav = 0, nat = 8, ntyp = 3
/
ATOMIC_SPECIES
Se 78.96 Se.upf
Pd 106.42 Pd.upf
Li 6.94 Li.upf
CELL_PARAMETERS angstrom
3.934 0.000 0.000
0.000 3.934 0.000
1.967 1.967 8.592
ATOMIC_POSITIONS angstrom
Se 0.000 0.000 0.000
Se 3.934 1.967 4.296
Pd 2.984 0.983 2.148
Pd 0.950 2.950 2.148
Pd 2.950 2.916 6.444
Pd 4.917 4.951 6.444
Li 1.967 1.967 0.000
Li 1.967 3.934 4.296
```

***

No. 15
Crystalline LiPd2Se3 at its relaxed geometry, computed with PBE. Values from VASP.

Raw formation energy   -0.50 eV per atom
Fermi-level density of states   0.48 states/eV/f.u.

Cell and atoms, written as Quantum ESPRESSO input:
```
&SYSTEM
  ibrav = 0, nat = 12, ntyp = 3
/
ATOMIC_SPECIES
Li 6.94 Li.upf
Pd 106.42 Pd.upf
Se 78.96 Se.upf
CELL_PARAMETERS angstrom
-2.880 -0.604 -4.289
1.526 -7.328 0.007
-5.996 2.578 3.664
ATOMIC_POSITIONS angstrom
Li -2.001 -4.240 -0.292
Li -5.349 -1.114 -0.325
Pd 0.000 0.000 0.000
Pd -2.235 -2.375 1.836
Pd 0.763 -3.664 0.004
Pd -2.998 1.289 1.832
Se -2.694 -2.539 -2.622
Se -4.853 -4.834 -0.848
Se -1.956 -6.080 -2.618
Se -5.394 0.726 2.001
Se -4.657 -2.815 2.004
Se -2.497 -0.520 0.231
```

***

No. 16
Crystalline LiPdSe at its relaxed geometry, computed with PBE. Values from VASP.

Raw formation energy   -0.57 eV per atom
Offset from the most stable computed form   86 meV/atom
Fermi-level density of states   1.63 states/eV/f.u.

Cell and atoms, written as Quantum ESPRESSO input:
```
&SYSTEM
  ibrav = 0, nat = 3, ntyp = 3
/
ATOMIC_SPECIES
Se 78.96 Se.upf
Pd 106.42 Pd.upf
Li 6.94 Li.upf
CELL_PARAMETERS angstrom
-3.312 -0.262 0.433
0.583 -3.528 2.321
-0.054 3.816 1.899
ATOMIC_POSITIONS angstrom
Se -0.393 1.325 2.112
Pd -0.551 -0.044 0.072
Li -1.840 -1.255 2.469
```

***

No. 17
Crystalline LiPdSe at its relaxed geometry, computed with PBE. Values from VASP.

Raw formation energy   -0.65 eV per atom
Offset from the most stable computed form   0 meV/atom
Fermi-level density of states   1.75 states/eV/f.u.

Cell and atoms, written as Quantum ESPRESSO input:
```
&SYSTEM
  ibrav = 0, nat = 18, ntyp = 3
/
ATOMIC_SPECIES
Li 6.94 Li.upf
Pd 106.42 Pd.upf
Se 78.96 Se.upf
CELL_PARAMETERS angstrom
-3.736 1.309 0.111
-0.370 -0.507 -6.500
-3.891 -11.198 1.088
ATOMIC_POSITIONS angstrom
Li -4.484 -3.559 -3.027
Li -4.087 -8.202 -5.554
Li -3.909 -2.195 0.254
Li -3.435 -0.472 -4.114
Li -3.512 -6.838 -2.273
Li -4.561 -9.925 -1.187
Pd -1.647 -1.177 -6.246
Pd -3.034 -5.247 -4.941
Pd -6.110 -8.173 -3.344
Pd -4.963 -5.150 -0.360
Pd -1.886 -2.223 -1.957
Pd -6.350 -9.220 0.946
Se -4.792 -10.362 -3.791
Se -5.810 -7.525 -0.888
Se -5.354 -5.939 -4.230
Se -3.205 -0.035 -1.509
Se -2.643 -4.458 -1.070
Se -2.186 -2.872 -4.413
```

***

No. 18
Crystalline LiPd3Se6 at its relaxed geometry, computed with PBE. Values from VASP.

Raw formation energy   -0.33 eV per atom
Fermi-level density of states   4.36 states/eV/f.u.

Cell and atoms, written as Quantum ESPRESSO input:
```
&SYSTEM
  ibrav = 0, nat = 10, ntyp = 3
/
ATOMIC_SPECIES
Li 6.94 Li.upf
Pd 106.42 Pd.upf
Se 78.96 Se.upf
CELL_PARAMETERS angstrom
6.626 0.000 0.000
3.313 5.738 0.000
3.313 1.913 5.405
ATOMIC_POSITIONS angstrom
Li 9.939 5.738 2.238
Pd 6.626 3.825 5.268
Pd 6.626 3.825 0.165
Pd 3.313 1.913 3.061
Se 8.841 3.605 1.401
Se 5.709 5.854 1.401
Se 5.328 2.017 1.401
Se 4.411 3.995 4.030
Se 7.586 1.823 4.030
Se 7.880 5.659 4.030
```

***

No. 19
Crystalline LiPd3Se at its relaxed geometry, computed with PBE. Values from VASP.

Raw formation energy   -0.33 eV per atom
Offset from the most stable computed form   0 meV/atom
Fermi-level density of states   2.36 states/eV/f.u.

Cell and atoms, written as Quantum ESPRESSO input:
```
&SYSTEM
  ibrav = 0, nat = 20, ntyp = 3
/
ATOMIC_SPECIES
Li 6.94 Li.upf
Pd 106.42 Pd.upf
Se 78.96 Se.upf
CELL_PARAMETERS angstrom
5.040 0.000 -1.701
0.000 7.359 0.000
-1.760 0.000 8.944
ATOMIC_POSITIONS angstrom
Li 0.632 1.871 6.823
Li 2.648 5.488 0.421
Li 1.767 5.550 4.893
Li 1.512 1.809 2.351
Pd -0.622 6.760 5.763
Pd 3.901 0.599 1.480
Pd 3.021 3.081 5.952
Pd 0.258 4.278 1.291
Pd 0.489 3.250 4.258
Pd 2.790 4.109 2.985
Pd 1.910 6.929 7.457
Pd 1.369 0.430 -0.214
Pd 1.526 6.568 2.467
Pd 1.754 0.790 4.776
Pd 2.634 2.889 0.304
Pd 0.645 4.470 6.939
Se -0.389 5.476 3.539
Se 3.668 1.882 3.705
Se 4.549 1.797 -0.767
Se -1.269 5.562 8.011
```

***

No. 20
Crystalline LiPd3Se at its relaxed geometry, computed with PBE. Values from VASP.

Raw formation energy   0.30 eV per atom
Offset from the most stable computed form   629 meV/atom
Fermi-level density of states   3.44 states/eV/f.u.

Cell and atoms, written as Quantum ESPRESSO input:
```
&SYSTEM
  ibrav = 0, nat = 5, ntyp = 3
/
ATOMIC_SPECIES
Se 78.96 Se.upf
Pd 106.42 Pd.upf
Li 6.94 Li.upf
CELL_PARAMETERS angstrom
-3.941 0.425 -1.727
-1.684 -2.244 3.290
-0.573 3.671 2.211
ATOMIC_POSITIONS angstrom
Se -3.099 0.926 1.887
Pd -0.842 -1.122 1.645
Pd -0.286 1.836 1.105
Pd -1.970 0.213 -0.864
Li 0.000 0.000 0.000
```